(1)
Density functional theory data (PBE) for RbZrAl2 after structural relaxation.

The excess energy over the best structure of this formula in the dataset is 0 meV/atom. The formation energy comes out at 657.3 meV per atom.

The space group is Fm-3m (No. 225) and the conventional cell measures 7.392, 7.392 and 7.392 Å, with angles of 90.00, 90.00 and 90.00 degrees. The asymmetric unit holds Rb at (0.000, 0.000, 0.000), Zr at (0.000, 0.000, 0.500) and Al at (0.250, 0.250, 0.250).



(2)
Density functional theory data (PBE) for AcDyY14 after structural relaxation.

The formation energy comes out at 15.1 meV per atom.

The space group is Amm2 (No. 38) and the conventional cell measures 11.613, 7.233 and 12.521 Å, with angles of 90.00, 90.00 and 90.00 degrees. The asymmetric unit holds Ac at (0.000, 0.000, 0.000), Dy at (0.000, 0.000, 0.500), Y at (0.000, 0.249, 0.250), Y at (0.249, 0.000, 0.666), Y at (0.254, 0.248, 0.416), Y at (0.255, 0.000, 0.168), Y at (0.500, 0.000, 0.333), Y at (0.500, 0.000, 0.833) and Y at (0.500, 0.249, 0.584).



(3)
Density functional theory data (PBE) for KLiRe2 after structural relaxation.

The excess energy over the best structure of this formula in the dataset is 495 meV/atom. The formation energy comes out at 1112.4 meV per atom.

The space group is I4/mmm (No. 139) and the conventional cell measures 3.664, 3.664 and 11.028 Å, with angles of 90.00, 90.00 and 90.00 degrees. The asymmetric unit holds K at (0.000, 0.000, 0.000), Li at (0.000, 0.000, 0.500) and Re at (0.000, 0.500, 0.250).



(4)
Density functional theory data (PBE) for Pr2Y5Mg after structural relaxation.

The excess energy over the best structure of this formula in the dataset is 0 meV/atom. The formation energy comes out at 18.2 meV per atom.

The space group is I4/mmm (No. 139) and the conventional cell measures 7.098, 7.098 and 10.229 Å, with angles of 90.00, 90.00 and 90.00 degrees. The asymmetric unit holds Pr at (0.000, 0.500, 0.000), Y at (0.000, 0.000, 0.000), Y at (0.250, 0.250, 0.250) and Mg at (0.000, 0.000, 0.500).



(5)
Density functional theory data (PBE) for YHoCu4 after structural relaxation.

The excess energy over the best structure of this formula in the dataset is 0 meV/atom. The formation energy comes out at -274.0 meV per atom.

The space group is Imm2 (No. 44) and the conventional cell measures 4.286, 6.836 and 7.325 Å, with angles of 90.00, 90.00 and 90.00 degrees. The asymmetric unit holds Y at (0.000, 0.000, 0.000), Ho at (0.000, 0.500, 0.911), Cu at (0.000, 0.197, 0.619) and Cu at (0.000, 0.302, 0.290).



(6)
Density functional theory data (PBE) for LiMg6Ag5 after structural relaxation.

The formation energy comes out at -229.5 meV per atom.

The space group is C2/m (No. 12) and the conventional cell measures 8.121, 14.211 and 4.734 Å, with angles of 90.00, 125.40 and 90.00 degrees. The asymmetric unit holds Li at (0.000, 0.000, 0.000), Mg at (0.246, 0.500, 0.246), Mg at (0.247, 0.332, 0.747), Ag at (0.000, 0.162, 0.500), Ag at (0.000, 0.332, 0.000) and Ag at (0.000, 0.500, 0.500).



Going through the records in order, we get electronic total energy values of -3.59; -6.19; -5.86; -5.42; -4.85; -2.37 eV per atom.